[1]
Density functional theory data (PBE) for a relaxed Ga2SnSe4 crystal.

Cell: 7.883 7.883 6.321 Å, 90.00 90.00 90.00°
Space group I4/m (No. 87)
One atom of each set of equivalent atoms:
Ga 0.000 0.500 0.250
Sn 0.000 0.000 0.000
Se 0.158 0.322 0.500

Summary:
* uncorrected formation energy: -0.458 eV per atom
* excess energy over the best structure of this formula in the dataset: 6.9 kJ/mol of atoms
* uncorrected energy: -3.89 eV/atom

---

[2]
Density functional theory data (PBE) for a relaxed TiP2Ru crystal.

Cell: 5.019 5.019 12.135 Å, 90.00 90.00 90.00°
Space group I-42d (No. 122)
One atom of each set of equivalent atoms:
Ti 0.000 0.000 0.000
P 0.221 0.250 0.625
Ru 0.000 0.000 0.500

Summary:
* excess energy over the best structure of this formula in the dataset: 28.5 kJ/mol of atoms
* uncorrected energy: -7.30 eV/atom
* energy of formation from the pure elements: -305 meV/atom

---

[3]
Density functional theory data (PBE) for a relaxed Nd2Ho6Tm3Sc crystal.

Cell: 6.091 10.545 11.682 Å, 90.00 99.98 90.00°
Space group C2/m (No. 12)
One atom of each set of equivalent atoms:
Nd 0.000 0.166 0.000
Ho 0.247 0.500 0.748
Ho 0.249 0.335 0.252
Tm 0.000 0.000 0.500
Tm 0.000 0.334 0.500
Sc 0.000 0.500 0.000

Summary:
* uncorrected energy: -4.70 eV/atom
* energy of formation from the pure elements: 29 meV/atom

---

[4]
Density functional theory data (PBE) for a relaxed BaZn3Bi3 crystal.

Cell: 7.769 7.769 7.769 Å, 90.00 90.00 90.00°
Space group Pm-3n (No. 223)
One atom of each set of equivalent atoms:
Ba 0.000 0.000 0.000
Zn 0.000 0.250 0.500
Bi 0.000 0.500 0.250

Summary:
* excess energy over the best structure of this formula in the dataset: 2.4 kJ/mol of atoms
* uncorrected energy: -2.63 eV/atom
* energy of formation from the pure elements: -147 meV/atom

---

[5]
Density functional theory data (PBE) for a relaxed Sr2USbO6 crystal.

Cell: 6.109 6.109 4.600 Å, 90.00 90.00 90.00°
Space group P4mm (No. 99)
One atom of each set of equivalent atoms:
Sr 0.000 0.500 0.000
U 0.000 0.000 0.604
Sb 0.500 0.500 0.599
O 0.000 0.000 0.118
O 0.241 0.241 0.657
O 0.500 0.500 0.030

Summary:
* uncorrected formation energy: -2.549 eV per atom
* uncorrected energy: -7.40 eV/atom

---

[6]
Density functional theory data (PBE) for a relaxed Ba3Hf2O7 crystal.

Cell: 4.202 4.202 22.008 Å, 90.00 90.00 90.00°
Space group I4/mmm (No. 139)
One atom of each set of equivalent atoms:
Ba 0.000 0.000 0.000
Ba 0.000 0.000 0.186
Hf 0.000 0.000 0.403
O 0.000 0.000 0.309
O 0.000 0.000 0.500
O 0.000 0.500 0.096

Summary:
* uncorrected formation energy: -3.236 eV per atom
* uncorrected energy: -8.27 eV/atom

---

[7]
Density functional theory data (PBE) for a relaxed Li2Mg2TaO6 crystal.

Cell: 5.378 9.106 5.247 Å, 90.00 112.40 90.00°
Space group C2/m (No. 12)
One atom of each set of equivalent atoms:
Li 0.000 0.173 0.000
Mg 0.000 0.340 0.500
Ta 0.000 0.000 0.500
O 0.231 0.000 0.281
O 0.231 0.165 0.722

Summary:
* uncorrected formation energy: -2.352 eV per atom
* uncorrected energy: -6.77 eV/atom

---

[8]
Density functional theory data (PBE) for a relaxed CeNpIn4 crystal.

Cell: 8.534 8.534 8.534 Å, 90.00 90.00 90.00°
Space group F-43m (No. 216)
One atom of each set of equivalent atoms:
Ce 0.000 0.000 0.000
Np 0.250 0.250 0.750
In 0.125 0.125 0.375

Summary:
* uncorrected energy: -5.06 eV/atom
* energy of formation from the pure elements: -84 meV/atom

---

[9]
Density functional theory data (PBE) for a relaxed HfSbP3 crystal.

Cell: 4.887 4.887 4.887 Å, 90.00 90.00 90.00°
Space group Pm-3m (No. 221)
One atom of each set of equivalent atoms:
Hf 0.000 0.000 0.000
Sb 0.500 0.500 0.500
P 0.000 0.500 0.500

Summary:
* uncorrected formation energy: 1.032 eV per atom
* excess energy over the best structure of this formula in the dataset: 59.7 kJ/mol of atoms
* uncorrected energy: -5.03 eV/atom

---

[10]
Density functional theory data (PBE) for a relaxed V2BiOsBr crystal.

Cell: 5.358 5.358 5.095 Å, 90.00 90.00 90.00°
Space group P4/mmm (No. 123)
One atom of each set of equivalent atoms:
V 0.000 0.500 0.000
Bi 0.000 0.000 0.000
Os 0.000 0.000 0.500
Br 0.500 0.500 0.500

Summary:
* uncorrected formation energy: 1.859 eV per atom
* uncorrected energy: -5.14 eV/atom

---

[11]
Density functional theory data (PBE) for a relaxed Ba2LiCdAu6 crystal.

Cell: 6.475 6.911 7.502 Å, 73.22 64.68 62.07°
Space group P-1 (No. 2)
One atom of each set of equivalent atoms:
Ba 0.245 0.306 0.206
Li 0.500 0.500 0.500
Cd 0.000 0.000 0.000
Au 0.247 0.893 0.607
Au 0.261 0.781 0.262
Au 0.302 0.220 0.734

Summary:
* uncorrected energy: -3.12 eV/atom
* energy of formation from the pure elements: -486 meV/atom

---

[12]
Density functional theory data (PBE) for a relaxed Cs2AlI5 crystal.

Cell: 8.686 8.686 10.961 Å, 90.00 90.00 90.00°
Space group I4mm (No. 107)
One atom of each set of equivalent atoms:
Cs 0.000 0.500 0.000
Al 0.000 0.000 0.202
I 0.000 0.000 0.966
I 0.218 0.218 0.254

Summary:
* uncorrected formation energy: -1.108 eV per atom
* excess energy over the best structure of this formula in the dataset: 2.9 kJ/mol of atoms
* uncorrected energy: -2.76 eV/atom

---

[13]
Density functional theory data (PBE) for a relaxed RePb2O5 crystal.

Cell: 8.553 3.844 17.817 Å, 90.00 90.00 90.00°
Space group Pnma (No. 62)
One atom of each set of equivalent atoms:
Re 0.148 0.250 0.104
Pb 0.106 0.250 0.751
Pb 0.178 0.250 0.403
O 0.054 0.750 0.858
O 0.147 0.750 0.107
O 0.165 0.750 0.327
O 0.195 0.750 0.677
O 0.208 0.250 0.009

Summary:
* uncorrected formation energy: -1.341 eV per atom
* excess energy over the best structure of this formula in the dataset: 0.0 kJ/mol of atoms
* uncorrected energy: -6.92 eV/atom

---

[14]
Density functional theory data (PBE) for a relaxed CeAlAgPt crystal.

Cell: 6.848 6.848 6.848 Å, 90.00 90.00 90.00°
Space group F-43m (No. 216)
One atom of each set of equivalent atoms:
Ce 0.000 0.000 0.000
Al 0.000 0.000 0.500
Ag 0.250 0.250 0.750
Pt 0.250 0.250 0.250

Summary:
* uncorrected energy: -5.18 eV/atom
* energy of formation from the pure elements: -535 meV/atom

---

[15]
Density functional theory data (PBE) for a relaxed NaSr4Ac3Te8 crystal.

Cell: 9.4480 9.4480 23.2557 Å, 90.00 90.00 120.00°
Space group R-3m (No. 166, hexagonal axes)
One atom of each set of equivalent atoms:
Na 0.0000 0.0000 0.0000
Sr 0.0000 0.0000 0.5000
Sr 0.0000 0.5000 0.5000
Ac 0.0000 0.5000 0.0000
Te 0.0000 0.0000 0.2490
Te 0.0017 0.5008 0.7497

Summary:
* uncorrected formation energy: -1.584 eV per atom
* uncorrected energy: -4.43 eV/atom

---

[16]
Density functional theory data (PBE) for a relaxed BaTcSe2F crystal.

Cell: 4.672 4.672 6.700 Å, 90.00 90.00 90.00°
Space group P4/mmm (No. 123)
One atom of each set of equivalent atoms:
Ba 0.000 0.000 0.000
Tc 0.000 0.000 0.500
Se 0.000 0.500 0.500
F 0.500 0.500 0.000

Summary:
* uncorrected formation energy: -0.969 eV per atom
* uncorrected energy: -5.20 eV/atom

---

[17]
Density functional theory data (PBE) for a relaxed TiReNO2 crystal.

Cell: 3.729 3.729 4.234 Å, 90.00 90.00 90.00°
Space group P4/mmm (No. 123)
One atom of each set of equivalent atoms:
Ti 0.000 0.000 0.000
Re 0.500 0.500 0.500
N 0.000 0.000 0.500
O 0.000 0.500 0.000

Summary:
* uncorrected formation energy: -0.336 eV per atom
* uncorrected energy: -8.05 eV/atom

---

[18]
Density functional theory data (PBE) for a relaxed CeVP2Rh5 crystal.

Cell: 3.982 3.982 9.998 Å, 90.00 90.00 90.00°
Space group P4/mmm (No. 123)
One atom of each set of equivalent atoms:
Ce 0.000 0.000 0.000
V 0.000 0.000 0.500
P 0.500 0.500 0.229
Rh 0.000 0.500 0.344
Rh 0.500 0.500 0.000

Summary:
* uncorrected energy: -7.60 eV/atom
* energy of formation from the pure elements: -637 meV/atom

---

[19]
Density functional theory data (PBE) for a relaxed Ce3MgIr3 crystal.

Cell: 8.532 10.463 7.077 Å, 90.00 90.29 90.00°
Space group C2/m (No. 12)
One atom of each set of equivalent atoms:
Ce 0.000 0.173 0.000
Ce 0.000 0.242 0.500
Ce 0.135 0.500 0.129
Mg 0.250 0.000 0.362
Ir 0.076 0.000 0.696
Ir 0.234 0.261 0.778

Summary:
* uncorrected energy: -7.11 eV/atom
* energy of formation from the pure elements: -538 meV/atom

---

[20]
Density functional theory data (PBE) for a relaxed LiMg2Au crystal.

Cell: 3.113 4.153 14.204 Å, 90.00 90.00 90.00°
Space group Immm (No. 71)
One atom of each set of equivalent atoms:
Li 0.000 0.000 0.000
Mg 0.000 0.000 0.313
Au 0.000 0.000 0.500

Summary:
* uncorrected energy: -2.23 eV/atom
* energy of formation from the pure elements: -132 meV/atom